## 1
Dy2Sc3Tl | PBE | relaxed

Fermi-level density of states	10.8	states/eV/f.u.
crystal system	orthorhombic
magnetization	0.000	μB/atom

Cell: 3.3125 5.8585 9.4319 Å, 108.09 100.11 90.00°
Last column: nearest neighbours and their distance in Å.
Fractional coordinates of all 6 atoms:
Dy1 0.7009 0.2009 0.4017  4 Sc 3.15-3.32, 2 Dy 3.31
Dy2 0.2991 0.7991 0.5983  4 Sc 3.15-3.32, 2 Dy 3.31
Sc1 0.3643 0.3643 0.7285  2 Tl 2.91, 2 Dy 3.15
Sc2 0.0000 0.0000 0.0000  2 Tl 2.93
Sc3 0.6357 0.6357 0.2715  2 Tl 2.91, 2 Dy 3.15
Tl1 0.0000 0.5000 0.0000  6 Sc 2.91-2.93

## 2
Dy2Sc3Tl | PBE | relaxed

Fermi-level density of states	6.6	states/eV/f.u.
crystal system	orthorhombic
magnetization	0.000	μB/atom

Cell: 5.1930 3.7385 8.3815 Å, 102.89 90.00 90.00°
Last column: nearest neighbours and their distance in Å.
Fractional coordinates of all 6 atoms:
Dy1 0.0000 0.6628 0.3256  4 Sc 3.20, 2 Tl 3.25, 2 Dy 3.41
Dy2 0.0000 0.3372 0.6744  4 Sc 3.20, 2 Tl 3.25, 2 Dy 3.41
Sc1 0.5000 0.1727 0.3455  4 Sc 3.14-3.39, 4 Dy 3.20
Sc2 0.5000 0.5000 0.0000  4 Tl 3.20, 4 Sc 3.39
Sc3 0.5000 0.8273 0.6545  4 Sc 3.14-3.39, 4 Dy 3.20
Tl1 0.0000 0.0000 0.0000  4 Sc 3.20, 4 Dy 3.25

Bottom line: 2, by a margin of 283 meV/atom.

## 1
Dy3ScTl | PBE | relaxed

Fermi-level density of states	5.8	states/eV/f.u.
crystal system	orthorhombic
magnetization	0.000	μB/atom

Cell: 4.7431 4.7464 12.5442 Å, 90.00 79.10 90.00°
Last column: nearest neighbours and their distance in Å.
Fractional coordinates of all 10 atoms:
Dy1 0.7699 0.2500 0.1085  8 Dy 3.36-3.57, 2 Sc 3.36, 2 Tl 3.38
Dy2 0.3760 0.2500 0.8963  8 Dy 3.36-3.53, 2 Sc 3.41, 2 Tl 3.43
Dy3 0.5741 0.2500 0.5001  4 Dy 3.36, 4 Tl 3.38, 4 Sc 3.40
Dy4 0.2723 0.7500 0.1037  8 Dy 3.36-3.53, 2 Sc 3.41, 2 Tl 3.43
Dy5 0.8784 0.7500 0.8915  8 Dy 3.36-3.57, 2 Sc 3.36, 2 Tl 3.38
Dy6 0.0742 0.7500 0.4999  4 Dy 3.36, 4 Tl 3.38, 4 Sc 3.40
Sc1 0.4752 0.7500 0.6980  4 Tl 3.36, 8 Dy 3.36-3.41
Sc2 0.1732 0.2500 0.3020  4 Tl 3.36, 8 Dy 3.36-3.41
Tl1 0.6720 0.7500 0.3044  4 Sc 3.36, 8 Dy 3.38-3.43
Tl2 0.9764 0.2500 0.6956  4 Sc 3.36, 8 Dy 3.38-3.43

## 2
Dy3ScTl | PBE | relaxed

Fermi-level density of states	5.6	states/eV/f.u.
crystal system	triclinic
magnetization	0.000	μB/atom

Cell: 3.5497 8.2164 12.2464 Å, 105.15 115.75 102.50°
Last column: nearest neighbours and their distance in Å.
Fractional coordinates of all 10 atoms:
Dy1 0.3014 0.1849 0.4727  4 Sc 3.35-3.36, 3 Tl 3.39-3.44, 6 Dy 3.55-3.71
Dy2 0.7976 0.3549 0.0797  2 Sc 3.32, 3 Tl 3.38, 6 Dy 3.55-3.65
Dy3 0.2486 0.0153 0.1604  1 Sc 3.20, 2 Tl 3.28, 5 Dy 3.45-3.55
Dy4 0.6986 0.8151 0.5273  4 Sc 3.35-3.36, 3 Tl 3.39-3.44, 6 Dy 3.55-3.71
Dy5 0.7514 0.9847 0.8396  1 Sc 3.20, 2 Tl 3.28, 5 Dy 3.45-3.55
Dy6 0.2024 0.6451 0.9203  2 Sc 3.32, 3 Tl 3.38, 6 Dy 3.55-3.65
Sc1 0.2501 0.5599 0.6472  1 Sc 2.99, 1 Tl 3.05, 4 Dy 3.20-3.35
Sc2 0.7499 0.4401 0.3528  1 Sc 2.99, 1 Tl 3.05, 4 Dy 3.20-3.35
Tl1 0.2583 0.2621 0.7521  1 Sc 3.05, 7 Dy 3.28-3.39
Tl2 0.7417 0.7379 0.2479  1 Sc 3.05, 7 Dy 3.28-3.39

Bottom line: 2, by a margin of 24 meV/atom.

## 1
DySc2Tl | PBE | relaxed

Fermi-level density of states	5.0	states/eV/f.u.
crystal system	trigonal
magnetization	0.007	μB/atom

Cell: 3.4155 3.4155 10.6266 Å, 80.75 80.75 60.00°
Last column: nearest neighbours and their distance in Å.
Fractional coordinates of all 4 atoms:
Dy1 0.5000 0.5000 0.4999  6 Sc 3.37, 6 Dy 3.42
Sc1 0.0795 0.0795 0.7614  3 Tl 3.18, 3 Dy 3.37, 6 Sc 3.42
Sc2 0.2539 0.2539 0.2384  3 Tl 3.17, 3 Dy 3.37, 6 Sc 3.42
Tl1 0.6666 0.6666 0.0003  6 Sc 3.17-3.18, 6 Tl 3.42

## 2
DySc2Tl | PBE | relaxed

Fermi-level density of states	5.0	states/eV/f.u.
crystal system	cubic
magnetization	0.450	μB/atom

Cell: 5.2017 5.2017 5.2017 Å, 60.00 60.00 60.00°
Last column: nearest neighbours and their distance in Å.
Fractional coordinates of all 4 atoms:
Sc1 0.2500 0.2500 0.2500  4 Tl 3.19, 4 Dy 3.19
Sc2 0.7500 0.7500 0.7500  4 Tl 3.19, 4 Dy 3.19
Tl1 0.5000 0.5000 0.5000  8 Sc 3.19
Dy1 0.0000 0.0000 0.0000  8 Sc 3.19

## 3
DySc2Tl | PBE | relaxed

Fermi-level density of states	5.6	states/eV/f.u.
crystal system	monoclinic
magnetization	0.000	μB/atom

Cell: 4.5520 4.4048 10.7919 Å, 101.70 90.00 90.00°
Last column: nearest neighbours and their distance in Å.
Fractional coordinates of all 8 atoms:
Dy1 0.2500 0.3102 0.6189  5 Tl 3.16-3.23, 2 Sc 3.49
Dy2 0.7500 0.6898 0.3811  5 Tl 3.16-3.23, 2 Sc 3.49
Sc1 0.7500 0.4464 0.8920  2 Tl 3.14, 8 Sc 3.17-3.30
Sc2 0.2500 0.5536 0.1080  2 Tl 3.14, 8 Sc 3.17-3.30
Sc3 0.2500 0.9378 0.8748  2 Tl 3.07, 6 Sc 3.17-3.30
Sc4 0.7500 0.0622 0.1252  2 Tl 3.07, 6 Sc 3.17-3.30
Tl1 0.7500 0.8413 0.6804  4 Sc 3.07-3.14, 5 Dy 3.16-3.23
Tl2 0.2500 0.1587 0.3196  4 Sc 3.07-3.14, 5 Dy 3.16-3.23

## 4
DySc2Tl | PBE | relaxed

Fermi-level density of states	4.3	states/eV/f.u.
crystal system	tetragonal
magnetization	0.000	μB/atom

Cell: 3.4601 3.4601 8.6003 Å, 90.00 90.00 90.00°
Last column: nearest neighbours and their distance in Å.
Fractional coordinates of all 4 atoms:
Sc1 0.0000 0.0000 0.7718  4 Tl 3.14, 4 Dy 3.38, 4 Sc 3.46
Sc2 0.0000 0.0000 0.2282  4 Tl 3.14, 4 Dy 3.38, 4 Sc 3.46
Tl1 0.5000 0.5000 0.0000  8 Sc 3.14, 4 Tl 3.46
Dy1 0.5000 0.5000 0.5000  8 Sc 3.38, 4 Dy 3.46

Bottom line: 3, by a margin of 44 meV/atom.

## 1
DySc2Tl | PBE | relaxed

Fermi-level density of states	4.1	states/eV/f.u.
crystal system	tetragonal
magnetization	0.347	μB/atom

Cell: 4.6335 4.6460 4.6460 Å, 90.00 90.00 90.00°
Last column: nearest neighbours and their distance in Å.
Fractional coordinates of all 4 atoms:
Sc1 0.0000 0.0000 0.5000  4 Tl 3.28, 4 Dy 3.28, 4 Sc 3.29
Sc2 0.0000 0.5000 0.0000  4 Tl 3.28, 4 Dy 3.28, 4 Sc 3.29
Tl1 0.5000 0.0000 0.0000  8 Sc 3.28, 4 Dy 3.29
Dy1 0.5000 0.5000 0.5000  8 Sc 3.28, 4 Tl 3.29

## 2
DySc2Tl | PBE | relaxed

Fermi-level density of states	5.0	states/eV/f.u.
crystal system	orthorhombic
magnetization	0.000	μB/atom

Cell: 4.4939 6.3192 8.0434 Å, 90.00 90.00 110.84°
Last column: nearest neighbours and their distance in Å.
Fractional coordinates of all 8 atoms:
Dy1 0.9421 0.8841 0.2500  3 Tl 3.35-3.40, 8 Sc 3.42-3.55
Dy2 0.0579 0.1159 0.7500  3 Tl 3.35-3.40, 8 Sc 3.42-3.55
Sc1 0.3687 0.7373 0.5515  3 Tl 2.95-2.97, 2 Sc 3.19-3.21
Sc2 0.6313 0.2627 0.4485  3 Tl 2.95-2.97, 2 Sc 3.19-3.21
Sc3 0.3687 0.7373 0.9485  3 Tl 2.95-2.97, 2 Sc 3.19-3.21
Sc4 0.6313 0.2627 0.0515  3 Tl 2.95-2.97, 2 Sc 3.19-3.21
Tl1 0.7743 0.5483 0.7500  6 Sc 2.95-2.97
Tl2 0.2257 0.4517 0.2500  6 Sc 2.95-2.97

Bottom line: 1, by a margin of 78 meV/atom.

## 1
Dy2Sc3Tl4 | PBE | relaxed

Fermi-level density of states	7.6	states/eV/f.u.
crystal system	orthorhombic
magnetization	0.000	μB/atom

Cell: 6.7782 8.7399 8.7069 Å, 90.00 112.91 90.00°
Last column: nearest neighbours and their distance in Å.
Fractional coordinates of all 18 atoms:
Dy1 0.1132 0.5781 0.2264  8 Tl 3.25-3.59, 2 Sc 3.59
Dy2 0.8868 0.4219 0.7736  8 Tl 3.25-3.59, 2 Sc 3.59
Dy3 0.3868 0.0781 0.7736  8 Tl 3.25-3.59, 2 Sc 3.59
Dy4 0.6132 0.9219 0.2264  8 Tl 3.25-3.59, 2 Sc 3.59
Sc1 0.0000 0.0000 0.0000  6 Tl 2.81-3.01
Sc2 0.5000 0.5000 0.0000  6 Tl 2.81-3.01
Sc3 0.5371 0.7500 0.5742  5 Tl 2.90-3.12
Sc4 0.9629 0.2500 0.4258  5 Tl 2.90-3.12
Sc5 0.4629 0.2500 0.4258  5 Tl 2.90-3.12
Sc6 0.0371 0.7500 0.5742  5 Tl 2.90-3.12
Tl1 0.7177 0.7500 0.9353  3 Sc 2.81-2.90
Tl2 0.7823 0.2500 0.0647  3 Sc 2.81-2.90
Tl3 0.2823 0.2500 0.0647  3 Sc 2.81-2.90
Tl4 0.2177 0.7500 0.9353  3 Sc 2.81-2.90
Tl5 0.1857 0.9542 0.3714  5 Sc 2.95-3.12
Tl6 0.8143 0.0458 0.6286  5 Sc 2.95-3.12
Tl7 0.3143 0.4542 0.6286  5 Sc 2.95-3.12
Tl8 0.6857 0.5458 0.3714  5 Sc 2.95-3.12

## 2
Dy2Sc3Tl4 | PBE | relaxed

Fermi-level density of states	6.8	states/eV/f.u.
crystal system	trigonal
magnetization	0.000	μB/atom

Cell: 5.0740 5.0723 10.3095 Å, 90.04 90.00 59.99°
Last column: nearest neighbours and their distance in Å.
Fractional coordinates of all 9 atoms:
Dy1 0.3331 0.3338 0.7751  7 Tl 3.18-3.39, 1 Sc 3.52
Dy2 0.6669 0.6662 0.2249  7 Tl 3.18-3.39, 1 Sc 3.52
Sc1 0.3334 0.3331 0.4333  4 Tl 3.06-3.40, 3 Sc 3.23-3.24
Sc2 0.0000 0.0000 0.0000  6 Tl 3.12
Sc3 0.6666 0.6669 0.5667  4 Tl 3.06-3.40, 3 Sc 3.23-3.24
Tl1 0.6665 0.6671 0.8963  4 Sc 3.12-3.40, 4 Dy 3.18-3.39
Tl2 0.0001 0.9997 0.3487  3 Sc 3.06, 1 Tl 3.12, 3 Dy 3.19
Tl3 0.9999 0.0003 0.6513  3 Sc 3.06, 1 Tl 3.12, 3 Dy 3.19
Tl4 0.3335 0.3329 0.1037  4 Sc 3.12-3.40, 4 Dy 3.18-3.39

Bottom line: 2, by a margin of 56 meV/atom.

## 1
DySc5Tl4 | PBE | relaxed

Fermi-level density of states	8.0	states/eV/f.u.
crystal system	tetragonal
magnetization	0.059	μB/atom

Cell: 3.4415 3.4415 20.5930 Å, 90.00 90.00 90.00°
Last column: nearest neighbours and their distance in Å.
Fractional coordinates of all 10 atoms:
Dy1 0.0000 0.0000 0.0000  8 Sc 3.38, 4 Dy 3.44
Sc1 0.5000 0.5000 0.1141  4 Tl 3.12, 4 Dy 3.38, 4 Sc 3.44
Sc2 0.5000 0.5000 0.3058  8 Tl 3.14-3.15, 4 Sc 3.44
Sc3 0.5000 0.5000 0.5000  8 Tl 3.15, 4 Sc 3.44
Sc4 0.5000 0.5000 0.6942  8 Tl 3.14-3.15, 4 Sc 3.44
Sc5 0.5000 0.5000 0.8859  4 Tl 3.12, 4 Dy 3.38, 4 Sc 3.44
Tl1 0.0000 0.0000 0.2090  8 Sc 3.12-3.14, 4 Tl 3.44
Tl2 0.0000 0.0000 0.4029  8 Sc 3.15, 4 Tl 3.44
Tl3 0.0000 0.0000 0.5971  8 Sc 3.15, 4 Tl 3.44
Tl4 0.0000 0.0000 0.7910  8 Sc 3.12-3.14, 4 Tl 3.44

## 2
DySc5Tl4 | PBE | relaxed

Fermi-level density of states	9.1	states/eV/f.u.
crystal system	orthorhombic
magnetization	0.000	μB/atom

Cell: 7.2717 9.4580 8.1059 Å, 90.00 90.00 90.00°
Last column: nearest neighbours and their distance in Å.
Fractional coordinates of all 20 atoms:
Dy1 0.5399 0.0000 0.0000  4 Tl 3.21-3.26
Dy2 0.4601 0.5000 0.5000  4 Tl 3.21-3.26
Sc1 0.2222 0.7694 0.7878  4 Tl 2.93-3.04
Sc2 0.2222 0.2306 0.7878  4 Tl 2.93-3.04
Sc3 0.8942 0.5000 0.0000  4 Tl 2.85-3.08
Sc4 0.2222 0.7694 0.2122  4 Tl 2.93-3.04
Sc5 0.2222 0.2306 0.2122  4 Tl 2.93-3.04
Sc6 0.7778 0.7306 0.2878  4 Tl 2.93-3.04
Sc7 0.7778 0.2694 0.2878  4 Tl 2.93-3.04
Sc8 0.1058 0.0000 0.5000  4 Tl 2.85-3.08
Sc9 0.7778 0.2694 0.7122  4 Tl 2.93-3.04
Sc10 0.7778 0.7306 0.7122  4 Tl 2.93-3.04
Tl1 0.9386 0.0000 0.8175  5 Sc 2.85-3.01, 1 Tl 2.96
Tl2 0.5261 0.6607 0.0000  5 Sc 2.98-3.08, 1 Tl 3.04, 1 Dy 3.21
Tl3 0.5261 0.3393 0.0000  5 Sc 2.98-3.08, 1 Tl 3.04, 1 Dy 3.21
Tl4 0.9386 0.0000 0.1825  5 Sc 2.85-3.01, 1 Tl 2.96
Tl5 0.0614 0.5000 0.3175  5 Sc 2.85-3.01, 1 Tl 2.96
Tl6 0.4739 0.8393 0.5000  5 Sc 2.98-3.08, 1 Tl 3.04, 1 Dy 3.21
Tl7 0.4739 0.1607 0.5000  5 Sc 2.98-3.08, 1 Tl 3.04, 1 Dy 3.21
Tl8 0.0614 0.5000 0.6825  5 Sc 2.85-3.01, 1 Tl 2.96

Bottom line: 1, by a margin of 264 meV/atom.

## 1
Dy3ScTl4 | PBE | relaxed

Fermi-level density of states	6.9	states/eV/f.u.
crystal system	orthorhombic
magnetization	0.000	μB/atom

Cell: 6.4830 6.4744 10.4171 Å, 90.00 90.00 90.00°
Last column: nearest neighbours and their distance in Å.
Fractional coordinates of all 16 atoms:
Dy1 0.7538 0.9435 0.0000  4 Tl 3.20-3.31, 2 Sc 3.30-3.38, 4 Dy 3.51-3.58
Dy2 0.0644 0.7376 0.2537  6 Tl 3.22-3.35, 2 Sc 3.44-3.50, 2 Dy 3.51-3.58
Dy3 0.5644 0.2624 0.2463  6 Tl 3.22-3.35, 2 Sc 3.44-3.50, 2 Dy 3.51-3.58
Dy4 0.2538 0.0565 0.5000  4 Tl 3.20-3.31, 2 Sc 3.30-3.38, 4 Dy 3.51-3.58
Dy5 0.5644 0.2624 0.7537  6 Tl 3.22-3.35, 2 Sc 3.44-3.50, 2 Dy 3.51-3.58
Dy6 0.0644 0.7376 0.7463  6 Tl 3.22-3.35, 2 Sc 3.44-3.50, 2 Dy 3.51-3.58
Sc1 0.8813 0.4501 0.0000  4 Tl 3.08-3.35, 4 Dy 3.30-3.44
Sc2 0.3813 0.5499 0.5000  4 Tl 3.08-3.35, 4 Dy 3.30-3.44
Tl1 0.2623 0.9862 0.0000  4 Dy 3.20-3.35, 4 Tl 3.26-3.35
Tl2 0.3663 0.4934 0.0000  2 Sc 3.16-3.35, 2 Dy 3.24, 4 Tl 3.26-3.44
Tl3 0.0614 0.2413 0.2404  1 Sc 3.08, 5 Dy 3.21-3.26, 2 Tl 3.27-3.44
Tl4 0.5614 0.7587 0.2596  1 Sc 3.08, 5 Dy 3.21-3.26, 2 Tl 3.27-3.44
Tl5 0.8663 0.5066 0.5000  2 Sc 3.16-3.35, 2 Dy 3.24, 4 Tl 3.26-3.44
Tl6 0.7623 0.0138 0.5000  4 Dy 3.20-3.35, 4 Tl 3.26-3.35
Tl7 0.5614 0.7587 0.7404  1 Sc 3.08, 5 Dy 3.21-3.26, 2 Tl 3.27-3.44
Tl8 0.0614 0.2413 0.7596  1 Sc 3.08, 5 Dy 3.21-3.26, 2 Tl 3.27-3.44

## 2
Dy3ScTl4 | PBE | relaxed

Fermi-level density of states	5.1	states/eV/f.u.
crystal system	tetragonal
magnetization	0.000	μB/atom

Cell: 3.7022 3.7022 15.3330 Å, 90.00 90.00 90.00°
Last column: nearest neighbours and their distance in Å.
Fractional coordinates of all 8 atoms:
Sc1 0.5000 0.5000 0.0000  8 Tl 3.14
Tl1 0.0000 0.0000 0.8871  4 Sc 3.14, 4 Dy 3.28, 1 Tl 3.46
Tl2 0.0000 0.0000 0.1129  4 Sc 3.14, 4 Dy 3.28, 1 Tl 3.46
Tl3 0.0000 0.0000 0.3702  8 Dy 3.28-3.29
Tl4 0.0000 0.0000 0.6298  8 Dy 3.28-3.29
Dy1 0.5000 0.5000 0.2412  8 Tl 3.28
Dy2 0.5000 0.5000 0.5000  8 Tl 3.29
Dy3 0.5000 0.5000 0.7588  8 Tl 3.28

Bottom line: 2, by a margin of 117 meV/atom.

## 1
DyScTlZn | PBE | relaxed

Fermi-level density of states	4.5	states/eV/f.u.
crystal system	cubic
magnetization	0.043	μB/atom

Cell: 5.0845 5.0845 5.0845 Å, 60.00 60.00 60.00°
Last column: nearest neighbours and their distance in Å.
Fractional coordinates of all 4 atoms:
Sc1 0.2500 0.2500 0.2500  4 Tl 3.11, 4 Zn 3.11
Tl1 0.5000 0.5000 0.5000  4 Dy 3.11, 4 Sc 3.11
Zn1 0.0000 0.0000 0.0000  4 Dy 3.11, 4 Sc 3.11
Dy1 0.7500 0.7500 0.7500  4 Zn 3.11, 4 Tl 3.11

## 2
DyScTlZn | PBE | relaxed

Fermi-level density of states	3.0	states/eV/f.u.
crystal system	tetragonal
magnetization	0.000	μB/atom

Cell: 3.5666 3.5666 7.1996 Å, 90.00 90.00 90.00°
Last column: nearest neighbours and their distance in Å.
Fractional coordinates of all 4 atoms:
Dy1 0.0000 0.0000 0.8359  4 Zn 3.10, 4 Tl 3.27, 1 Sc 3.28
Sc1 0.0000 0.0000 0.3799  4 Zn 2.93, 4 Tl 3.12
Tl1 0.5000 0.5000 0.1260  4 Sc 3.12, 4 Dy 3.27, 1 Zn 3.31
Zn1 0.5000 0.5000 0.5862  4 Sc 2.93, 4 Dy 3.10

Bottom line: 2, by a margin of 32 meV/atom.